(1)
## PuTiOs4 (PBE-GGA)

Data for a relaxed structure of PuTiOs4.

abc: 7.422 7.422 7.422
angles: 90.00 90.00 90.00
Space group F-43m (No. 216)
Inequivalent atoms, fractional coordinates:
Pu (0.000, 0.000, 0.000) [4 per cell]
Ti (0.250, 0.250, 0.750) [4 per cell]
Os (0.125, 0.125, 0.375) [16 per cell]

Computed properties:
- E_form: -0.05 eV/atom



(2)
## PuTi2Os (PBE-GGA)

Data for a relaxed structure of PuTi2Os.

abc: 6.461 6.461 6.461
angles: 90.00 90.00 90.00
Space group Fm-3m (No. 225)
Inequivalent atoms, fractional coordinates:
Pu (0.000, 0.000, 0.000) [4 per cell]
Ti (0.250, 0.250, 0.250) [8 per cell]
Os (0.000, 0.000, 0.500) [4 per cell]

Computed properties:
- Energy above the lowest structure with this stoichiometry: 195 meV/atom
- E_form: -0.06 eV/atom



(3)
## PuTi2Os (PBE-GGA)

Data for a relaxed structure of PuTi2Os.

abc: 4.659 4.659 3.076
angles: 90.00 90.00 90.00
Space group P4/mmm (No. 123)
Inequivalent atoms, fractional coordinates:
Pu (0.000, 0.000, 0.000) [1 per cell]
Ti (0.000, 0.500, 0.500) [2 per cell]
Os (0.500, 0.500, 0.000) [1 per cell]

Computed properties:
- Energy above the lowest structure with this stoichiometry: 203 meV/atom
- E_form: -0.05 eV/atom



(4)
## PuTi2Os (PBE-GGA)

Data for a relaxed structure of PuTi2Os.

abc: 3.074 3.074 7.362
angles: 90.00 90.00 90.00
Space group P4/mmm (No. 123)
Inequivalent atoms, fractional coordinates:
Pu (0.000, 0.000, 0.000) [1 per cell]
Ti (0.500, 0.500, 0.290) [2 per cell]
Os (0.000, 0.000, 0.500) [1 per cell]

Computed properties:
- Energy above the lowest structure with this stoichiometry: 0 meV/atom
- E_form: -0.25 eV/atom



(5)
## PuTlOs (PBE-GGA)

Data for a relaxed structure of PuTlOs.

abc: 8.225 4.749 7.521
angles: 90.00 111.45 90.00
Space group C2/m (No. 12)
Inequivalent atoms, fractional coordinates:
Pu (0.132, 0.000, 0.397) [4 per cell]
Tl (0.205, 0.500, 0.115) [4 per cell]
Os (0.060, 0.500, 0.678) [4 per cell]

Computed properties:
- E_form: 0.24 eV/atom



(6)
## TmPuTlOs (PBE-GGA)

Data for a relaxed structure of TmPuTlOs.

abc: 7.130 7.130 7.130
angles: 90.00 90.00 90.00
Space group F-43m (No. 216)
Inequivalent atoms, fractional coordinates:
Tm (0.000, 0.000, 0.000) [4 per cell]
Pu (0.000, 0.000, 0.500) [4 per cell]
Tl (0.250, 0.250, 0.250) [4 per cell]
Os (0.250, 0.250, 0.750) [4 per cell]

Computed properties:
- Energy above the lowest structure with this stoichiometry: 237 meV/atom
- E_form: 0.04 eV/atom



Total magnetic moment values, unit μB per cell, following the record order: 18.045 18.067 5.070 5.102 19.191 19.974.
V values, unit Å³/cell, following the record order: 408.9 269.7 66.8 69.6 273.4 362.4.
Ρ values, unit g cm⁻³, following the record order: 17.101 13.054 13.182 12.652 15.515 14.800.